{"formula": "HfMnI2O", "functional": "PBE with a Hubbard U", "state": "relaxed", "cell": [[5.364, 0.000, 0.000], [0.000, 5.364, 0.000], [0.000, 0.000, 5.274]], "species": ["Hf", "Mn", "I", "I", "O"], "fractional_positions": [[0.000, 0.000, 0.000], [0.000, 0.000, 0.500], [0.000, 0.500, 0.500], [0.500, 0.000, 0.500], [0.500, 0.500, 0.000]], "rho_g_cm3": 5.5, "e_above_lowest_polymorph_kj_per_mol_atoms": 178.5, "e_tot_ev_per_cell": -20.353, "vol_a3_per_atom": 30.35, "crystal_system": "tetragonal"}